Entry a
VASP calculation (PBE-GGA) on a geometry-optimized Pm7DyHo4 structure.

The structure in extended XYZ format:
```
12
Lattice="6.288 0.000 0.000 0.005 7.253 0.000 2.092 0.002 8.695" Properties=species:S:1:pos:R:3 pbc="T T T"
Pm 0.000 0.000 0.000
Pm 2.095 3.628 2.909
Pm 3.154 5.448 5.787
Pm 5.229 1.800 8.685
Pm 3.156 5.455 0.010
Pm 5.232 1.807 2.908
Pm 6.290 3.627 5.786
Dy 0.002 3.627 0.000
Ho 2.090 7.253 2.915
Ho 3.145 1.798 5.800
Ho 5.240 5.457 2.895
Ho 6.295 0.002 5.780
```

Computed properties:
**Space-group type**: P-1, No. 2
**D(E_F)**: 1.25 states/eV per atom

Entry b
VASP calculation (PBE-GGA) on a geometry-optimized Pm7DyHo4 structure.

The structure in extended XYZ format:
```
12
Lattice="8.058 -2.984 0.000 8.058 2.984 0.000 -4.147 0.000 8.404" Properties=species:S:1:pos:R:3 pbc="T T T"
Pm 0.000 0.000 0.000
Pm 4.159 0.000 0.994
Pm 1.493 0.000 6.439
Pm 4.407 0.000 4.661
Pm 7.563 0.000 3.743
Pm 10.476 0.000 1.965
Pm 7.811 0.000 7.410
Dy 8.058 0.000 0.000
Ho -1.739 0.000 5.866
Ho 1.163 0.000 3.247
Ho 10.807 0.000 5.157
Ho 13.709 0.000 2.538
```

Computed properties:
**Space-group type**: C2/m, No. 12
**D(E_F)**: 1.59 states/eV per atom

entry a wins, 20.8 kJ/mol of atoms ahead of the next structure.

Entry a
VASP calculation (PBE-GGA) on a geometry-optimized Pm7Dy2Ho3 structure.

The structure in extended XYZ format:
```
12
Lattice="6.429 0.000 0.000 0.000 3.554 0.000 -1.812 0.000 17.445" Properties=species:S:1:pos:R:3 pbc="T T T"
Pm 0.000 0.000 0.000
Pm 1.134 1.777 2.983
Pm 0.757 1.777 8.642
Pm 0.264 0.000 14.535
Pm 4.353 0.000 2.910
Pm 3.859 1.777 8.803
Pm 3.482 1.777 14.462
Dy -0.833 1.777 11.697
Dy 5.450 1.777 5.748
Ho 2.299 0.000 5.944
Ho 3.214 1.777 0.000
Ho 2.317 0.000 11.502
```

Computed properties:
**Space-group type**: P2/m, No. 10
**D(E_F)**: 1.47 states/eV per atom

Entry b
VASP calculation (PBE-GGA) on a geometry-optimized Pm7Dy2Ho3 structure.

The structure in extended XYZ format:
```
12
Lattice="2.758 -16.249 0.000 2.758 16.249 0.000 0.000 0.000 4.614" Properties=species:S:1:pos:R:3 pbc="T T T"
Pm 0.000 0.000 0.000
Pm 2.758 13.661 2.307
Pm 2.758 7.659 0.000
Pm 2.758 2.672 0.000
Pm 2.758 -2.672 0.000
Pm 2.758 -7.659 0.000
Pm 2.758 -13.661 2.307
Dy 2.758 11.049 0.000
Dy 2.758 -11.049 0.000
Ho 2.758 5.118 2.307
Ho 2.758 0.000 2.307
Ho 2.758 -5.118 2.307
```

Computed properties:
**Space-group type**: Cmmm, No. 65
**D(E_F)**: 1.51 states/eV per atom

entry a wins, 18.4 kJ/mol of atoms ahead of the next structure.